Material: PrTm4Cu5
Method: DFT, PBE-GGA
State: relaxed

Raw total energy, eV per atom: -4.57
DFT formation energy, eV/atom: -0.26

Cell lengths 3.4307, 3.4307, 17.5236 Å; angles 90.00, 90.00, 90.00 degrees
Space group P4/mmm (No. 123)
Asymmetric unit:
Pr 0.0000 0.0000 0.0000 [1 per cell]
Tm 0.0000 0.0000 0.2067 [2 per cell]
Tm 0.0000 0.0000 0.4022 [2 per cell]
Cu 0.5000 0.5000 0.1150 [2 per cell]
Cu 0.5000 0.5000 0.3040 [2 per cell]
Cu 0.5000 0.5000 0.5000 [1 per cell]